Cr2NiPtN | PBE-GGA | optimized geometry

Values from the calculation:
symmetry	No. 123
formation energy from raw total energies	-1.04	eV/f.u.
DOS(E_F)	1.301	states/eV per atom
electronic total energy	-8.087	eV/atom

Unit cell a=3.7944 b=3.7944 c=3.8855 alpha=90.00 beta=90.00 gamma=90.00
Atoms (fractional coordinates):
1 Cr 0.0000 0.5000 0.0000
2 Cr 0.5000 0.0000 0.0000
3 Ni 0.0000 0.0000 0.5000
4 Pt 0.5000 0.5000 0.5000
5 N 0.0000 0.0000 0.0000

---

CrNiPtN2 | PBE-GGA | optimized geometry

Values from the calculation:
symmetry	No. 123
formation energy from raw total energies	9.77	eV/f.u.
DOS(E_F)	1.894	states/eV per atom
electronic total energy	-5.665	eV/atom

Unit cell a=3.7080 b=3.7080 c=5.3465 alpha=90.00 beta=90.00 gamma=90.00
Atoms (fractional coordinates):
1 Cr 0.0000 0.0000 0.0000
2 Ni 0.5000 0.5000 0.0000
3 Pt 0.0000 0.0000 0.5000
4 N 0.0000 0.5000 0.5000
5 N 0.5000 0.0000 0.5000

---

CrNi2PtN | PBE-GGA | optimized geometry

Values from the calculation:
symmetry	No. 123
formation energy from raw total energies	-0.72	eV/f.u.
DOS(E_F)	1.435	states/eV per atom
electronic total energy	-7.254	eV/atom
relative energy among the computed polymorphs	0.0	meV per atom

Unit cell a=3.8451 b=3.8451 c=3.8281 alpha=90.00 beta=90.00 gamma=90.00
Atoms (fractional coordinates):
1 Cr 0.0000 0.0000 0.0000
2 Ni 0.0000 0.5000 0.5000
3 Ni 0.5000 0.0000 0.5000
4 Pt 0.5000 0.5000 0.0000
5 N 0.0000 0.0000 0.5000

---

CrNi2PtN | PBE-GGA | optimized geometry

Values from the calculation:
symmetry	No. 123
formation energy from raw total energies	10.86	eV/f.u.
DOS(E_F)	1.669	states/eV per atom
electronic total energy	-4.938	eV/atom
relative energy among the computed polymorphs	2316.6	meV per atom

Unit cell a=4.1792 b=4.1792 c=4.5366 alpha=90.00 beta=90.00 gamma=90.00
Atoms (fractional coordinates):
1 Cr 0.0000 0.0000 0.0000
2 Ni 0.0000 0.5000 0.0000
3 Ni 0.5000 0.0000 0.0000
4 Pt 0.0000 0.0000 0.5000
5 N 0.5000 0.5000 0.5000

---

PuCrNi2N4 | PBE-GGA | optimized geometry

Values from the calculation:
symmetry	No. 121
formation energy from raw total energies	-3.48	eV/f.u.
DOS(E_F)	1.176	states/eV per atom
electronic total energy	-9.037	eV/atom

Unit cell a=4.8580 b=4.8580 c=4.8580 alpha=115.95 beta=115.95 gamma=97.18
Atoms (fractional coordinates):
1 Pu 0.0000 0.0000 0.0000
2 Cr 0.5000 0.5000 0.0000
3 Ni 0.2500 0.7500 0.5000
4 Ni 0.7500 0.2500 0.5000
5 N 0.1275 0.1275 0.6085
6 N 0.4810 0.8725 0.0000
7 N 0.5190 0.5190 0.3915
8 N 0.8725 0.4810 0.0000

---

CrNi2RhN | PBE-GGA | optimized geometry

Values from the calculation:
symmetry	No. 123
formation energy from raw total energies	-0.13	eV/f.u.
DOS(E_F)	1.381	states/eV per atom
electronic total energy	-7.399	eV/atom
relative energy among the computed polymorphs	0.0	meV per atom

Unit cell a=3.8039 b=3.8039 c=3.8073 alpha=90.00 beta=90.00 gamma=90.00
Atoms (fractional coordinates):
1 Cr 0.0000 0.0000 0.0000
2 Ni 0.0000 0.5000 0.5000
3 Ni 0.5000 0.0000 0.5000
4 Rh 0.5000 0.5000 0.0000
5 N 0.0000 0.0000 0.5000